Entry from the Alexandria database: LiAcY2 after structural relaxation (PBE).

It has space group P4/mmm (No. 123), with a = 5.8360 Å, b = 5.8360 Å, c = 3.8737 Å, α = 90.00°, β = 90.00° and γ = 90.00°. The inequivalent atoms are Li at (0.0000, 0.0000, 0.0000), Ac at (0.5000, 0.5000, 0.0000) and Y at (0.0000, 0.5000, 0.5000).

The energy relative to the lowest polymorph listed for this composition comes out at 0.134 eV per atom. The value obtained for the calculated formation energy is 0.23 eV/atom. Its density of states at the Fermi level is 6.7 states/eV/cell.



Entry from the Alexandria database: SbAs3Pd6 after structural relaxation (PBE).

It has space group P2_1/m (No. 11), with a = 9.3215 Å, b = 3.6365 Å, c = 10.2020 Å, α = 90.00°, β = 92.70° and γ = 90.00°. The inequivalent atoms are Sb at (0.1059, 0.2500, 0.1936), As at (0.2150, 0.2500, 0.5355), As at (0.3128, 0.7500, 0.9124), As at (0.4534, 0.2500, 0.3859), Pd at (0.0663, 0.7500, 0.4116), Pd at (0.1041, 0.2500, 0.9317), Pd at (0.1550, 0.7500, 0.7050), Pd at (0.3120, 0.7500, 0.2597), Pd at (0.3936, 0.2500, 0.7384) and Pd at (0.4039, 0.2500, 0.0649).

The formation energy without anion corrections comes out at -0.320 eV per atom. Its density of states at the Fermi level is 9.1 states/eV/cell.



Entry from the Alexandria database: BeNbH after structural relaxation (PBE).

It has space group Cmcm (No. 63), with a = 3.4527 Å, b = 9.3619 Å, c = 3.4882 Å, α = 90.00°, β = 90.00° and γ = 90.00°. The inequivalent atoms are Be at (0.0000, 0.0618, 0.2500), Nb at (0.0000, 0.3546, 0.2500) and H at (0.0000, 0.2532, 0.7500).

The energy relative to the lowest polymorph listed for this composition comes out at 0.000 eV per atom. Its density of states at the Fermi level is 0.8 states/eV/cell.



Entry from the Alexandria database: BaBrCl after structural relaxation (PBE).

It has space group Pnma (No. 62), with a = 8.3175 Å, b = 4.8931 Å, c = 9.6135 Å, α = 90.00°, β = 90.00° and γ = 90.00°. The inequivalent atoms are Ba at (0.2354, 0.2500, 0.1204), Br at (0.0284, 0.7500, 0.3298) and Cl at (0.1425, 0.7500, 0.9320).

The energy relative to the lowest polymorph listed for this composition comes out at 0.000 eV per atom. The formation energy without anion corrections comes out at -2.394 eV per atom. Its density of states at the Fermi level is 0.0 states/eV/cell.



| no. | total magnetic moment (μB/f.u.) |
| --- | --- |
| 1 | 0.7 |
| 2 | 0.0 |
| 3 | 0.0 |
| 4 | 0.0 |